Entry 1:
Density functional theory data (PBE) for a geometry-optimized AlOs2Au structure.

Unit cell a=3.017 b=3.017 c=6.570 alpha=90.00 beta=90.00 gamma=90.00
Space group P4/mmm (No. 123)
Unique sites:
Al: 0.000 0.000 0.000 [1 per cell]
Os: 0.500 0.500 0.217 [2 per cell]
Au: 0.000 0.000 0.500 [1 per cell]

Output
Crystal system: tetragonal
Energy of formation: 279 meV per atom

Entry 2:
Density functional theory data (PBE) for a geometry-optimized Pm6ZnSb2 structure.

Unit cell a=8.5727 b=8.5727 c=4.2015 alpha=90.00 beta=90.00 gamma=120.00
Space group P-62m (No. 189)
Unique sites:
Pm: 0.0000 0.2546 0.0000 [3 per cell]
Pm: 0.0000 0.5886 0.5000 [3 per cell]
Zn: 0.0000 0.0000 0.5000 [1 per cell]
Sb: 0.3333 0.6667 0.0000 [2 per cell]

Output
Crystal system: hexagonal
Formation energy without anion corrections: -0.59 eV per atom

Entry 3:
Density functional theory data (PBE) for a geometry-optimized YEr2F structure.

Unit cell a=3.6003 b=3.6003 c=27.3467 alpha=90.00 beta=90.00 gamma=120.00
Space group R-3m (No. 166, hexagonal axes)
Unique sites:
Y: 0.0000 0.0000 0.0000 [3 per cell]
Er: 0.0000 0.0000 0.1178 [6 per cell]
F: 0.0000 0.0000 0.5000 [3 per cell]

Output
Crystal system: trigonal
Formation energy without anion corrections: -0.84 eV per atom

Entry 4:
Density functional theory data (PBE) for a geometry-optimized Al2AuC4 structure.

Unit cell a=4.231 b=4.231 c=10.364 alpha=90.00 beta=90.00 gamma=90.00
Space group I4/mmm (No. 139)
Unique sites:
Al: 0.000 0.000 0.117 [4 per cell]
Au: 0.000 0.000 0.500 [2 per cell]
C: 0.000 0.000 0.300 [4 per cell]
C: 0.000 0.500 0.000 [4 per cell]

Output
Crystal system: tetragonal
Energy of formation: 2287 meV per atom

Entry 5:
Density functional theory data (PBE) for a geometry-optimized Ac8PrDy4 structure.

Unit cell a=11.8026 b=11.8026 c=14.4269 alpha=90.00 beta=90.00 gamma=120.00
Space group R-3m (No. 166, hexagonal axes)
Unique sites:
Ac: 0.0000 0.0000 0.2405 [6 per cell]
Ac: 0.0123 0.5062 0.7466 [18 per cell]
Pr: 0.0000 0.0000 0.5000 [3 per cell]
Dy: 0.0000 0.0000 0.0000 [3 per cell]
Dy: 0.0000 0.5000 0.0000 [9 per cell]

Output
Crystal system: trigonal
Energy of formation: 392 meV per atom

Entry 6:
Density functional theory data (PBE) for a geometry-optimized TbCeSn structure.

Unit cell a=5.4695 b=5.4695 c=6.4750 alpha=90.00 beta=90.00 gamma=120.00
Space group P6_3/mmc (No. 194)
Unique sites:
Tb: 0.3333 0.6667 0.2500 [2 per cell]
Ce: 0.0000 0.0000 0.0000 [2 per cell]
Sn: 0.3333 0.6667 0.7500 [2 per cell]

Output
Crystal system: hexagonal
Energy of formation: -561 meV per atom

Entry 7:
Density functional theory data (PBE) for a geometry-optimized YAgPb3 structure.

Unit cell a=3.879 b=6.180 c=6.311 alpha=81.48 beta=72.27 gamma=71.72
Space group P1 (No. 1)
Unique sites:
Y: 0.000 0.000 0.000 [1 per cell]
Ag: 0.791 0.630 0.784 [1 per cell]
Pb: 0.212 0.440 0.135 [1 per cell]
Pb: 0.369 0.824 0.435 [1 per cell]
Pb: 0.585 0.247 0.587 [1 per cell]

Output
Crystal system: triclinic
Energy of formation: -136 meV per atom

Entry 8:
Density functional theory data (PBE) for a geometry-optimized SrAg2PbF8 structure.

Unit cell a=4.037 b=5.797 c=7.986 alpha=89.96 beta=90.00 gamma=89.80
Space group P-1 (No. 2)
Unique sites:
Sr: 0.000 0.000 0.000 [1 per cell]
Ag: 0.500 0.500 0.242 [2 per cell]
Pb: 0.000 0.000 0.500 [1 per cell]
F: 0.005 0.230 0.278 [2 per cell]
F: 0.005 0.230 0.722 [2 per cell]
F: 0.496 0.783 0.500 [2 per cell]
F: 0.500 0.249 0.000 [2 per cell]

Output
Crystal system: triclinic
Formation energy without anion corrections: -2.11 eV per atom

Entry 9:
Density functional theory data (PBE) for a geometry-optimized RbSb2Pt3 structure.

Unit cell a=16.327 b=4.185 c=9.436 alpha=90.00 beta=110.99 gamma=90.00
Space group C2/m (No. 12)
Unique sites:
Rb: 0.148 0.000 0.041 [4 per cell]
Sb: 0.033 0.500 0.220 [4 per cell]
Sb: 0.188 0.000 0.672 [4 per cell]
Pt: 0.054 0.000 0.401 [4 per cell]
Pt: 0.081 0.500 0.643 [4 per cell]
Pt: 0.188 0.500 0.454 [4 per cell]

Output
Crystal system: monoclinic
Formation energy without anion corrections: -0.39 eV per atom

Entry 10:
Density functional theory data (PBE) for a geometry-optimized Na3Os4O12 structure.

Unit cell a=7.638 b=7.638 c=7.638 alpha=90.00 beta=90.00 gamma=90.00
Space group Im-3 (No. 204)
Unique sites:
Na: 0.000 0.000 0.500 [6 per cell]
Os: 0.250 0.250 0.250 [8 per cell]
O: 0.000 0.220 0.282 [24 per cell]

Output
Crystal system: cubic
Formation energy without anion corrections: -1.16 eV per atom

Entry 11:
Density functional theory data (PBE) for a geometry-optimized MgMoRu2 structure.

Unit cell a=3.147 b=4.267 c=8.919 alpha=90.00 beta=90.00 gamma=90.00
Space group Imm2 (No. 44)
Unique sites:
Mg: 0.000 0.000 0.000 [2 per cell]
Mo: 0.000 0.500 0.239 [2 per cell]
Ru: 0.000 0.000 0.505 [2 per cell]
Ru: 0.000 0.500 0.751 [2 per cell]

Output
Crystal system: orthorhombic
Energy of formation: 82 meV per atom

Entry 12:
Density functional theory data (PBE) for a geometry-optimized BaBr3N2 structure.

Unit cell a=15.046 b=9.017 c=5.929 alpha=90.00 beta=90.84 gamma=90.00
Space group C2/c (No. 15)
Unique sites:
Ba: 0.000 0.249 0.250 [4 per cell]
Br: 0.000 0.121 0.750 [4 per cell]
Br: 0.140 0.500 0.005 [8 per cell]
N: 0.187 0.123 0.309 [8 per cell]

Output
Crystal system: monoclinic
Formation energy without anion corrections: 0.67 eV per atom

Entry 13:
Density functional theory data (PBE) for a geometry-optimized Ce3TmZr2N6 structure.

Unit cell a=5.891 b=10.207 c=6.014 alpha=90.00 beta=109.04 gamma=90.00
Space group C2/m (No. 12)
Unique sites:
Ce: 0.000 0.000 0.000 [2 per cell]
Ce: 0.000 0.334 0.000 [4 per cell]
Tm: 0.000 0.500 0.500 [2 per cell]
Zr: 0.000 0.167 0.500 [4 per cell]
N: 0.235 0.000 0.727 [4 per cell]
N: 0.246 0.330 0.728 [8 per cell]

Output
Crystal system: monoclinic
Formation energy without anion corrections: -1.65 eV per atom

Entry 14:
Density functional theory data (PBE) for a geometry-optimized Zr2FeHAu structure.

Unit cell a=4.566 b=4.566 c=3.633 alpha=90.00 beta=90.00 gamma=90.00
Space group P4/mmm (No. 123)
Unique sites:
Zr: 0.000 0.500 0.000 [2 per cell]
Fe: 0.000 0.000 0.500 [1 per cell]
H: 0.000 0.000 0.000 [1 per cell]
Au: 0.500 0.500 0.500 [1 per cell]

Output
Crystal system: tetragonal

Entry 15:
Density functional theory data (PBE) for a geometry-optimized RbBeSiCl2 structure.

Unit cell a=5.937 b=5.937 c=6.236 alpha=90.00 beta=90.00 gamma=90.00
Space group P4/mmm (No. 123)
Unique sites:
Rb: 0.000 0.000 0.000 [1 per cell]
Be: 0.500 0.500 0.500 [1 per cell]
Si: 0.000 0.000 0.500 [1 per cell]
Cl: 0.000 0.500 0.000 [2 per cell]

Output
Crystal system: tetragonal
Formation energy without anion corrections: 0.93 eV per atom

Entry 16:
Density functional theory data (PBE) for a geometry-optimized Ac2Ga3BiAu12 structure.

Unit cell a=6.8750 b=6.8750 c=31.4193 alpha=90.00 beta=90.00 gamma=120.00
Space group R-3m (No. 166, hexagonal axes)
Unique sites:
Ac: 0.0000 0.0000 0.1365 [6 per cell]
Ga: 0.0000 0.5000 0.0000 [9 per cell]
Bi: 0.0000 0.0000 0.5000 [3 per cell]
Au: 0.0490 0.5245 0.8925 [18 per cell]
Au: 0.0595 0.5297 0.6232 [18 per cell]

Output
Crystal system: trigonal
Energy of formation: -286 meV per atom

Entry 17:
Density functional theory data (PBE) for a geometry-optimized MnCo2Re structure.

Unit cell a=2.826 b=2.826 c=6.139 alpha=90.00 beta=90.00 gamma=90.00
Space group P4mm (No. 99)
Unique sites:
Mn: 0.000 0.000 0.000 [1 per cell]
Co: 0.000 0.000 0.537 [1 per cell]
Co: 0.500 0.500 0.776 [1 per cell]
Re: 0.500 0.500 0.274 [1 per cell]

Output
Crystal system: tetragonal
Energy of formation: 117 meV per atom

Entry 18:
Density functional theory data (PBE) for a geometry-optimized Al2ZnCu9 structure.

Unit cell a=3.657 b=3.657 c=11.203 alpha=90.00 beta=90.00 gamma=90.00
Space group P4/mmm (No. 123)
Unique sites:
Al: 0.000 0.000 0.166 [2 per cell]
Zn: 0.000 0.000 0.500 [1 per cell]
Cu: 0.000 0.500 0.000 [2 per cell]
Cu: 0.000 0.500 0.332 [4 per cell]
Cu: 0.500 0.500 0.165 [2 per cell]
Cu: 0.500 0.500 0.500 [1 per cell]

Output
Crystal system: tetragonal
Energy of formation: -143 meV per atom

Entry 19:
Density functional theory data (PBE) for a geometry-optimized ScSCl2O structure.

Unit cell a=4.911 b=4.911 c=5.172 alpha=90.00 beta=90.00 gamma=90.00
Space group P4/mmm (No. 123)
Unique sites:
Sc: 0.000 0.000 0.000 [1 per cell]
S: 0.000 0.000 0.500 [1 per cell]
Cl: 0.000 0.500 0.000 [2 per cell]
O: 0.500 0.500 0.500 [1 per cell]

Output
Crystal system: tetragonal
Formation energy without anion corrections: -0.52 eV per atom

Entry 20:
Density functional theory data (PBE) for a geometry-optimized Dy4CdIn2Au structure.

Unit cell a=5.2633 b=5.2633 c=25.7397 alpha=90.00 beta=90.00 gamma=120.00
Space group R-3m (No. 166, hexagonal axes)
Unique sites:
Dy: 0.0000 0.0000 0.1202 [6 per cell]
Dy: 0.0000 0.0000 0.3710 [6 per cell]
Cd: 0.0000 0.0000 0.5000 [3 per cell]
In: 0.0000 0.0000 0.2455 [6 per cell]
Au: 0.0000 0.0000 0.0000 [3 per cell]

Output
Crystal system: trigonal
Energy of formation: -518 meV per atom

Entry 21:
Density functional theory data (PBE) for a geometry-optimized Sm2TmHfN4 structure.

Unit cell a=5.920 b=3.413 c=5.981 alpha=90.00 beta=109.07 gamma=90.00
Space group P2/m (No. 10)
Unique sites:
Sm: 0.000 0.000 0.000 [1 per cell]
Sm: 0.500 0.500 0.000 [1 per cell]
Tm: 0.000 0.500 0.500 [1 per cell]
Hf: 0.500 0.000 0.500 [1 per cell]
N: 0.255 0.000 0.727 [2 per cell]
N: 0.269 0.500 0.278 [2 per cell]

Output
Crystal system: monoclinic
Formation energy without anion corrections: -1.67 eV per atom

Entry 22:
Density functional theory data (PBE) for a geometry-optimized GdErCdIr structure.

Unit cell a=7.127 b=7.127 c=7.127 alpha=90.00 beta=90.00 gamma=90.00
Space group F-43m (No. 216)
Unique sites:
Gd: 0.000 0.000 0.000 [4 per cell]
Er: 0.000 0.000 0.500 [4 per cell]
Cd: 0.250 0.250 0.750 [4 per cell]
Ir: 0.250 0.250 0.250 [4 per cell]

Output
Crystal system: cubic
Energy of formation: -542 meV per atom

Entry 23:
Density functional theory data (PBE) for a geometry-optimized BaZr2Mo structure.

Unit cell a=3.3764 b=3.3764 c=30.9252 alpha=90.00 beta=90.00 gamma=120.00
Space group R3m (No. 160, hexagonal axes)
Unique sites:
Ba: 0.0000 0.0000 0.0000 [3 per cell]
Zr: 0.0000 0.0000 0.2265 [3 per cell]
Zr: 0.0000 0.0000 0.4800 [3 per cell]
Mo: 0.0000 0.0000 0.7522 [3 per cell]

Output
Crystal system: trigonal
Energy of formation: 671 meV per atom

Entry 24:
Density functional theory data (PBE) for a geometry-optimized Nd2Y4H structure.

Unit cell a=4.890 b=4.890 c=17.452 alpha=90.00 beta=90.00 gamma=90.00
Space group I4/mmm (No. 139)
Unique sites:
Nd: 0.000 0.000 0.148 [4 per cell]
Y: 0.000 0.000 0.349 [4 per cell]
Y: 0.000 0.500 0.000 [4 per cell]
H: 0.000 0.000 0.500 [2 per cell]

Output
Crystal system: tetragonal

Calculated values (Å³/cell) of V for the records, taken in order: 59.8, 267.4, 307.0, 185.6, 1740.4, 167.7, 136.6, 186.9, 601.9, 445.7, 119.8, 804.3, 341.8, 75.7, 219.8, 1286.1, 49.0, 149.8, 124.8, 617.5, 114.2, 362.1, 305.3, 417.4.
Calculated values (eV/atom) of energy for the records, taken in order: -7.091, -4.813, -5.208, -4.521, -3.919, -5.417, -4.224, -4.285, -4.945, -6.866, -7.662, -3.257, -9.090, -6.745, -1.828, -3.647, -8.841, -3.945, -4.343, -4.027, -8.817, -7.647, -6.792, -5.472.